Compound: NdDyBr2
Source: the Alexandria database
Functional: GGA-PBE
Structure: optimized geometry

Values from the calculation:
polymorph energy (0 for the lowest one) = 0.052 eV/atom
crystal system = trigonal
energy relative to the elements, uncorrected = -1.001 eV/atom
DOS at the Fermi energy = 10.810 states/eV/cell
final energy = -0.1536 hartree per atom

Cell lengths 3.6665, 3.6665, 30.6915 Å; angles 90.00, 90.00, 120.00 degrees
Space group R-3m (No. 166, hexagonal axes)
Inequivalent atoms, fractional coordinates:
Nd 0.0000 0.0000 0.0000 [3 per cell]
Dy 0.0000 0.0000 0.5000 [3 per cell]
Br 0.0000 0.0000 0.0992 [6 per cell]